## Si3GeIr (GGA-PBE)

Data for a relaxed Si3GeIr crystal.

Properties
The calculation puts the mass density at 5.7 g/cm3. The value obtained for the offset from the most stable computed form is 0 meV per atom. As for the uncorrected formation energy: 2.561 eV/f.u. Its electronic total energy is -0.3996 Ry per atom.

Unit cell a=4.665 b=4.665 c=4.665 alpha=90.00 beta=90.00 gamma=90.00
Space group Pm-3m (No. 221)
Inequivalent atoms, fractional coordinates:
Si: 0.000 0.000 0.500
Ge: 0.500 0.500 0.500
Ir: 0.000 0.000 0.000